ScAl2Rh2 | SCAN | single point on PBEsol structure

Output
Formation enthalpy at 0 K = -1.0803 eV per atom
Calculated density = 6.68 g/cm³

Cell: 2.8866 7.2435 7.2435 Å, 90.00 90.00 90.00°
Fractional coordinates of all 10 atoms:
Rh 0.0000 0.1511 0.3489
Rh 0.0000 0.8489 0.6511
Rh 0.0000 0.3489 0.8489
Rh 0.0000 0.6511 0.1511
Sc 0.0000 0.0000 0.0000
Sc 0.0000 0.5000 0.5000
Al 0.5000 0.8564 0.3564
Al 0.5000 0.3564 0.1436
Al 0.5000 0.1436 0.6436
Al 0.5000 0.6436 0.8564